# IrAuSO

An optimized crystal structure of IrAuSO (PBE, OQMD via LeMat-Bulk).

Calculated values
Total energy in eV per atom: -5.2483

Cell: 3.1005 7.2145 5.8146 Å, 90.00 90.00 90.00°
With the nearest neighbours (Å) after each atom.
Sites, in units of the cell vectors:
Ir  0.0000  0.1768  0.0000  2 O 1.97-2.02
Ir  0.0000  0.8232  0.5000  2 O 1.97-2.02
Au  0.5000  0.3369  0.6351  2 S 2.41-2.50, 2 O 2.58
Au  0.5000  0.6631  0.1351  2 S 2.41-2.50, 2 O 2.58
S  0.5000  0.3338  0.2060  2 Ir 2.26, 2 Au 2.41-2.50
S  0.5000  0.6662  0.7060  2 Ir 2.26, 2 Au 2.41-2.50
O  0.0000  0.0546  0.6967  2 Ir 1.97-2.02
O  0.0000  0.9454  0.1967  2 Ir 1.97-2.02